#1
# Pm6DyHo12

An optimized crystal structure of Pm6DyHo12 (PBE-GGA, Alexandria via LeMat-Bulk).

Cell lengths 8.552, 8.552, 8.552 Å; angles 91.48, 91.48, 91.48 degrees
Fractional positions:
Pm1 0.724 0.871 0.260
Pm2 0.740 0.276 0.129
Pm3 0.129 0.740 0.276
Pm4 0.276 0.129 0.740
Pm5 0.260 0.724 0.871
Pm6 0.871 0.260 0.724
Dy1 0.000 0.000 0.000
Ho1 0.790 0.528 0.465
Ho2 0.465 0.790 0.528
Ho3 0.528 0.465 0.790
Ho4 0.210 0.472 0.535
Ho5 0.535 0.210 0.472
Ho6 0.472 0.535 0.210
Ho7 0.061 0.145 0.376
Ho8 0.855 0.624 0.939
Ho9 0.624 0.939 0.855
Ho10 0.939 0.855 0.624
Ho11 0.145 0.376 0.061
Ho12 0.376 0.061 0.145

Properties
Its calculated density is 8.0 g cm⁻³. The calculation puts the volume at 32.880 Å³/atom. The symmetry is R-3 (148).


#2
# Pm6DyHo12

An optimized crystal structure of Pm6DyHo12 (PBE-GGA, Alexandria via LeMat-Bulk).

Cell lengths 8.706, 8.706, 8.706 Å; angles 98.67, 98.67, 98.67 degrees
Fractional positions:
Pm1 0.903 0.344 0.903
Pm2 0.903 0.903 0.344
Pm3 0.344 0.903 0.903
Pm4 0.097 0.097 0.656
Pm5 0.097 0.656 0.097
Pm6 0.656 0.097 0.097
Dy1 0.000 0.000 0.000
Ho1 0.757 0.243 0.500
Ho2 0.355 0.082 0.355
Ho3 0.355 0.355 0.082
Ho4 0.918 0.645 0.645
Ho5 0.645 0.645 0.918
Ho6 0.645 0.918 0.645
Ho7 0.500 0.757 0.243
Ho8 0.243 0.500 0.757
Ho9 0.243 0.757 0.500
Ho10 0.500 0.243 0.757
Ho11 0.757 0.500 0.243
Ho12 0.082 0.355 0.355

Properties
Its calculated density is 7.9 g cm⁻³. The calculation puts the volume at 33.399 Å³/atom. The symmetry is R-3m (166).


Name the least stable of them. #2.


#1
# Pm2Dy9Ho

An optimized crystal structure of Pm2Dy9Ho (PBE-GGA, Alexandria via LeMat-Bulk).

Cell lengths 3.491, 11.249, 11.249 Å; angles 120.00, 90.00, 90.00 degrees
Fractional positions:
Pm1 0.000 0.333 0.667
Pm2 0.000 0.667 0.333
Dy1 0.000 0.000 0.500
Dy2 0.000 0.500 0.500
Dy3 0.000 0.500 0.000
Dy4 0.500 0.347 0.174
Dy5 0.500 0.174 0.826
Dy6 0.500 0.174 0.347
Dy7 0.500 0.826 0.653
Dy8 0.500 0.826 0.174
Dy9 0.500 0.653 0.826
Ho1 0.000 0.000 0.000

Properties
Its calculated density is 8.3 g cm⁻³. The calculation puts the volume at 31.884 Å³/atom. The symmetry is P6/mmm (191).


#2
# Pm2Dy9Ho

An optimized crystal structure of Pm2Dy9Ho (PBE-GGA, Alexandria via LeMat-Bulk).

Cell lengths 5.032, 5.032, 15.088 Å; angles 90.00, 90.00, 90.00 degrees
Fractional positions:
Pm1 0.000 0.000 0.333
Pm2 0.000 0.000 0.667
Dy1 0.500 0.500 0.000
Dy2 0.500 0.500 0.332
Dy3 0.500 0.500 0.668
Dy4 0.500 0.000 0.165
Dy5 0.500 0.000 0.500
Dy6 0.500 0.000 0.835
Dy7 0.000 0.500 0.165
Dy8 0.000 0.500 0.500
Dy9 0.000 0.500 0.835
Ho1 0.000 0.000 0.000

Properties
Its calculated density is 8.3 g cm⁻³. The calculation puts the volume at 31.843 Å³/atom. The symmetry is P4/mmm (123).


Name the least stable of them. #1.


#1
# PmDy6Ho2

An optimized crystal structure of PmDy6Ho2 (PBE-GGA, Alexandria via LeMat-Bulk).

Cell lengths 3.552, 8.685, 12.785 Å; angles 132.76, 82.01, 90.06 degrees
Fractional positions:
Pm1 0.000 0.000 0.000
Dy1 0.889 0.557 0.223
Dy2 0.111 0.443 0.777
Dy3 0.667 0.665 0.665
Dy4 0.778 0.110 0.444
Dy5 0.222 0.890 0.556
Dy6 0.333 0.335 0.335
Ho1 0.444 0.776 0.111
Ho2 0.556 0.224 0.889

Properties
Its calculated density is 8.5 g cm⁻³. The calculation puts the volume at 31.600 Å³/atom. The symmetry is P-1 (2).


#2
# PmDy6Ho2

An optimized crystal structure of PmDy6Ho2 (PBE-GGA, Alexandria via LeMat-Bulk).

Cell lengths 6.051, 7.408, 7.408 Å; angles 60.00, 89.99, 89.99 degrees
Fractional positions:
Pm1 0.000 0.000 0.000
Dy1 0.295 0.375 0.812
Dy2 0.296 0.812 0.812
Dy3 0.295 0.812 0.375
Dy4 0.705 0.625 0.188
Dy5 0.704 0.188 0.188
Dy6 0.705 0.188 0.625
Ho1 0.788 0.667 0.667
Ho2 0.212 0.333 0.333

Properties
Its calculated density is 8.4 g cm⁻³. The calculation puts the volume at 31.954 Å³/atom. The symmetry is P-3m1 (164).


Name the least stable of them. #2.


#1
# Pm3DyHo5

An optimized crystal structure of Pm3DyHo5 (PBE-GGA, Alexandria via LeMat-Bulk).

Cell lengths 6.346, 9.615, 11.488 Å; angles 110.60, 90.00, 109.27 degrees
Fractional positions:
Pm1 0.000 0.000 0.000
Pm2 0.353 0.343 0.374
Pm3 0.000 0.000 0.500
Pm4 0.647 0.657 0.626
Pm5 0.990 0.343 0.874
Pm6 0.010 0.657 0.126
Dy1 0.597 0.000 0.750
Dy2 0.403 0.000 0.250
Ho1 0.119 0.000 0.750
Ho2 0.530 0.682 0.987
Ho3 0.876 0.340 0.216
Ho4 0.470 0.318 0.013
Ho5 0.537 0.660 0.284
Ho6 0.881 0.000 0.250
Ho7 0.153 0.682 0.487
Ho8 0.847 0.318 0.513
Ho9 0.463 0.340 0.716
Ho10 0.124 0.660 0.784

Properties
Its calculated density is 7.7 g cm⁻³. The calculation puts the volume at 34.110 Å³/atom. The symmetry is C2/c (15).


#2
# Pm3DyHo5

An optimized crystal structure of Pm3DyHo5 (PBE-GGA, Alexandria via LeMat-Bulk).

Cell lengths 8.700, 8.700, 9.867 Å; angles 116.16, 116.16, 90.00 degrees
Fractional positions:
Pm1 0.616 0.116 0.000
Pm2 0.384 0.884 0.000
Pm3 0.884 0.616 0.000
Pm4 0.116 0.384 0.000
Pm5 0.250 0.250 0.500
Pm6 0.750 0.750 0.500
Dy1 0.750 0.250 0.500
Dy2 0.250 0.750 0.500
Ho1 0.072 0.572 0.725
Ho2 0.652 0.152 0.725
Ho3 0.152 0.072 0.725
Ho4 0.572 0.652 0.725
Ho5 0.928 0.428 0.275
Ho6 0.348 0.848 0.275
Ho7 0.848 0.928 0.275
Ho8 0.428 0.348 0.275
Ho9 0.500 0.500 0.000
Ho10 0.000 0.000 0.000

Properties
Its calculated density is 8.1 g cm⁻³. The calculation puts the volume at 32.439 Å³/atom. The symmetry is I4/mcm (140).


Name the least stable of them. #1.


#1
# Pm2Dy5Ho12

An optimized crystal structure of Pm2Dy5Ho12 (PBE-GGA, Alexandria via LeMat-Bulk).

Cell lengths 9.199, 12.327, 8.497 Å; angles 132.47, 90.00, 111.91 degrees
Fractional positions:
Pm1 0.682 0.000 0.000
Pm2 0.318 0.000 0.000
Dy1 0.301 0.603 0.613
Dy2 0.232 0.463 0.888
Dy3 0.000 0.000 0.500
Dy4 0.768 0.537 0.112
Dy5 0.699 0.397 0.387
Ho1 0.091 0.182 0.300
Ho2 0.025 0.690 0.934
Ho3 0.664 0.690 0.934
Ho4 0.181 0.746 0.402
Ho5 0.565 0.746 0.402
Ho6 0.558 0.115 0.784
Ho7 0.442 0.885 0.216
Ho8 0.819 0.254 0.598
Ho9 0.435 0.254 0.598
Ho10 0.975 0.310 0.066
Ho11 0.336 0.310 0.066
Ho12 0.909 0.818 0.700

Properties
Its calculated density is 8.3 g cm⁻³. The calculation puts the volume at 32.271 Å³/atom. The symmetry is C2/m (12).


#2
# Pm2Dy5Ho12

An optimized crystal structure of Pm2Dy5Ho12 (PBE-GGA, Alexandria via LeMat-Bulk).

Cell lengths 6.134, 11.186, 13.704 Å; angles 137.19, 94.28, 100.59 degrees
Fractional positions:
Pm1 0.737 0.946 0.026
Pm2 0.263 0.054 0.974
Dy1 0.421 0.683 0.656
Dy2 0.158 0.632 0.185
Dy3 0.000 0.000 0.500
Dy4 0.842 0.368 0.815
Dy5 0.579 0.317 0.344
Ho1 0.054 0.210 0.395
Ho2 0.210 0.840 0.079
Ho3 0.684 0.736 0.132
Ho4 0.105 0.424 0.291
Ho5 0.633 0.529 0.238
Ho6 0.473 0.895 0.552
Ho7 0.527 0.105 0.448
Ho8 0.895 0.576 0.709
Ho9 0.367 0.471 0.762
Ho10 0.790 0.160 0.921
Ho11 0.316 0.264 0.868
Ho12 0.946 0.790 0.605

Properties
Its calculated density is 8.6 g cm⁻³. The calculation puts the volume at 31.390 Å³/atom. The symmetry is P-1 (2).


Name the least stable of them. #1.


#1
# Pm3DyHo4

An optimized crystal structure of Pm3DyHo4 (PBE-GGA, Alexandria via LeMat-Bulk).

Cell lengths 3.554, 5.653, 13.351 Å; angles 85.75, 82.22, 90.01 degrees
Fractional positions:
Dy1 0.000 0.000 0.000
Ho1 0.895 0.303 0.203
Ho2 0.105 0.697 0.797
Ho3 0.778 0.261 0.444
Ho4 0.222 0.739 0.556
Pm1 0.355 0.784 0.286
Pm2 0.645 0.216 0.714
Pm3 0.500 0.500 0.000

Properties
Its calculated density is 7.9 g cm⁻³. The calculation puts the volume at 33.126 Å³/atom. The symmetry is P-1 (2).


#2
# Pm3DyHo4

An optimized crystal structure of Pm3DyHo4 (PBE-GGA, Alexandria via LeMat-Bulk).

Cell lengths 5.056, 10.100, 10.107 Å; angles 90.00, 90.00, 90.00 degrees
Fractional positions:
Pm1 0.564 0.627 0.000
Pm2 0.064 0.628 0.251
Pm3 0.564 0.372 0.249
Pm4 0.064 0.373 0.500
Pm5 0.564 0.372 0.751
Pm6 0.064 0.628 0.749
Dy1 0.064 0.371 0.000
Dy2 0.564 0.629 0.500
Ho1 0.064 0.879 0.000
Ho2 0.564 0.123 0.000
Ho3 0.064 0.122 0.249
Ho4 0.564 0.878 0.251
Ho5 0.064 0.877 0.500
Ho6 0.564 0.121 0.500
Ho7 0.564 0.878 0.749
Ho8 0.064 0.122 0.751

Properties
Its calculated density is 8.1 g cm⁻³. The calculation puts the volume at 32.260 Å³/atom. The symmetry is Pmmn (59).


Name the least stable of them. #1.


#1
# Pm5Dy2Ho2

An optimized crystal structure of Pm5Dy2Ho2 (PBE-GGA, Alexandria via LeMat-Bulk).

Cell lengths 12.857, 6.202, 10.390 Å; angles 107.37, 128.22, 90.00 degrees
Fractional positions:
Pm1 0.152 0.622 0.903
Pm2 0.848 0.719 0.097
Pm3 0.251 0.122 0.903
Pm4 0.749 0.219 0.097
Pm5 0.329 0.153 0.288
Pm6 0.671 0.866 0.712
Pm7 0.458 0.653 0.288
Pm8 0.542 0.366 0.712
Pm9 0.073 0.671 0.500
Pm10 0.927 0.171 0.500
Dy1 0.000 0.077 0.000
Dy2 0.500 0.577 0.000
Dy3 0.194 0.198 0.500
Dy4 0.806 0.698 0.500
Ho1 0.184 0.650 0.270
Ho2 0.816 0.380 0.730
Ho3 0.586 0.150 0.270
Ho4 0.414 0.880 0.730

Properties
Its calculated density is 7.6 g cm⁻³. The calculation puts the volume at 33.447 Å³/atom. The symmetry is Ima2 (46).


#2
# Pm5Dy2Ho2

An optimized crystal structure of Pm5Dy2Ho2 (PBE-GGA, Alexandria via LeMat-Bulk).

Cell lengths 6.239, 6.241, 13.935 Å; angles 58.49, 132.19, 131.87 degrees
Fractional positions:
Pm1 0.446 0.666 0.112
Pm2 0.554 0.334 0.888
Pm3 0.221 0.334 0.555
Pm4 0.779 0.666 0.445
Pm5 0.000 0.000 0.000
Dy1 0.667 0.000 0.667
Dy2 0.333 0.000 0.333
Ho1 0.109 0.667 0.777
Ho2 0.891 0.333 0.223

Properties
Its calculated density is 7.7 g cm⁻³. The calculation puts the volume at 32.956 Å³/atom. The symmetry is C2/m (12).


Name the least stable of them. #1.


#1
# Pm12DyHo7

An optimized crystal structure of Pm12DyHo7 (PBE-GGA, Alexandria via LeMat-Bulk).

Cell lengths 8.806, 8.806, 8.806 Å; angles 94.22, 94.22, 94.22 degrees
Fractional positions:
Pm1 0.816 0.249 0.681
Pm2 0.751 0.319 0.184
Pm3 0.475 0.145 0.410
Pm4 0.855 0.590 0.525
Pm5 0.319 0.184 0.751
Pm6 0.590 0.525 0.855
Pm7 0.410 0.475 0.145
Pm8 0.681 0.816 0.249
Pm9 0.145 0.410 0.475
Pm10 0.525 0.855 0.590
Pm11 0.249 0.681 0.816
Pm12 0.184 0.751 0.319
Dy1 0.000 0.000 0.000
Ho1 0.919 0.654 0.984
Ho2 0.346 0.016 0.081
Ho3 0.016 0.081 0.346
Ho4 0.500 0.500 0.500
Ho5 0.984 0.919 0.654
Ho6 0.654 0.984 0.919
Ho7 0.081 0.346 0.016

Properties
Its calculated density is 7.5 g cm⁻³. The calculation puts the volume at 33.852 Å³/atom. The symmetry is R-3 (148).


#2
# Pm12DyHo7

An optimized crystal structure of Pm12DyHo7 (PBE-GGA, Alexandria via LeMat-Bulk).

Cell lengths 6.185, 11.500, 11.500 Å; angles 116.86, 100.33, 100.33 degrees
Fractional positions:
Pm1 0.087 0.587 0.174
Pm2 0.087 0.174 0.587
Pm3 0.586 0.647 0.000
Pm4 0.415 0.000 0.354
Pm5 0.500 0.413 0.587
Pm6 0.061 0.646 0.647
Pm7 0.939 0.354 0.353
Pm8 0.500 0.587 0.413
Pm9 0.585 0.000 0.646
Pm10 0.414 0.353 0.000
Pm11 0.913 0.826 0.413
Pm12 0.913 0.413 0.826
Dy1 0.000 0.000 0.000
Ho1 0.126 0.756 0.000
Ho2 0.875 0.000 0.245
Ho3 0.630 0.755 0.756
Ho4 0.500 0.000 0.000
Ho5 0.370 0.245 0.244
Ho6 0.125 0.000 0.755
Ho7 0.874 0.244 0.000

Properties
Its calculated density is 7.4 g cm⁻³. The calculation puts the volume at 34.280 Å³/atom. The symmetry is R-3m (166).


Name the least stable of them. #1.


#1
# Pm3Dy2Ho

An optimized crystal structure of Pm3Dy2Ho (PBE-GGA, Alexandria via LeMat-Bulk).

Cell lengths 11.602, 6.247, 6.247 Å; angles 120.00, 90.00, 90.00 degrees
Fractional positions:
Pm1 0.470 0.166 0.833
Pm2 0.970 0.167 0.834
Pm3 0.470 0.500 0.500
Pm4 0.970 0.500 0.500
Pm5 0.970 0.834 0.167
Pm6 0.470 0.833 0.166
Dy1 0.720 0.167 0.500
Dy2 0.220 0.500 0.833
Dy3 0.220 0.833 0.500
Dy4 0.720 0.500 0.167
Ho1 0.720 0.833 0.833
Ho2 0.220 0.167 0.167

Properties
Its calculated density is 7.8 g cm⁻³. The calculation puts the volume at 32.674 Å³/atom. The symmetry is Cmcm (63).


#2
# Pm3Dy2Ho

An optimized crystal structure of Pm3Dy2Ho (PBE-GGA, Alexandria via LeMat-Bulk).

Cell lengths 7.235, 10.283, 7.242 Å; angles 80.05, 119.90, 121.70 degrees
Fractional positions:
Pm1 0.253 0.002 0.751
Pm2 0.747 0.998 0.249
Pm3 0.806 0.667 0.861
Pm4 0.195 0.335 0.639
Pm5 0.805 0.665 0.361
Pm6 0.194 0.333 0.139
Dy1 0.305 0.669 0.361
Dy2 0.304 0.667 0.861
Dy3 0.696 0.333 0.139
Dy4 0.695 0.331 0.639
Ho1 0.253 0.002 0.251
Ho2 0.747 0.998 0.749

Properties
Its calculated density is 7.8 g cm⁻³. The calculation puts the volume at 32.881 Å³/atom. The symmetry is P-1 (2).


Name the least stable of them. #2.